Version w
# AcPmTePb, relaxed, DFT PBE-GGA
# volume = 36.2 Å³/atom
data_AcPmTePb
_chemical_formula_sum 'Ac3 Pm3 Te3 Pb3'
_cell_length_a 4.6812
_cell_length_b 4.6812
_cell_length_c 22.8794
_cell_angle_alpha 90.00
_cell_angle_beta 90.00
_cell_angle_gamma 120.00
_space_group_name_H-M_alt 'R 3 m'
_space_group_IT_number 160
_space_group_name_Hall 'R 3 -2"'
loop_
_atom_site_label
_atom_site_fract_x
_atom_site_fract_y
_atom_site_fract_z
Ac1 0.0000 0.0000 0.0000
Pm1 0.0000 0.0000 0.4944
Te1 0.0000 0.0000 0.2419
Pb1 0.0000 0.0000 0.7530

---

Version x
# AcPmTePb, relaxed, DFT PBE-GGA
# volume = 32.7 Å³/atom
data_AcPmTePb
_chemical_formula_sum 'Ac4 Pm4 Te4 Pb4'
_cell_length_a 8.0549
_cell_length_b 8.0549
_cell_length_c 8.0549
_cell_angle_alpha 90.00
_cell_angle_beta 90.00
_cell_angle_gamma 90.00
_space_group_name_H-M_alt 'F -4 3 m'
_space_group_IT_number 216
_space_group_name_Hall 'F -4 2 3'
loop_
_atom_site_label
_atom_site_fract_x
_atom_site_fract_y
_atom_site_fract_z
Ac1 0.0000 0.0000 0.0000
Pm1 0.0000 0.0000 0.5000
Te1 0.2500 0.2500 0.7500
Pb1 0.2500 0.2500 0.2500

---

The structure with the least stability is version x.

---

Version w
# AcPmTlPb, relaxed, DFT PBE-GGA
# volume = 34.3 Å³/atom
data_AcPmTlPb
_chemical_formula_sum 'Ac2 Pm2 Tl2 Pb2'
_cell_length_a 4.5875
_cell_length_b 4.8543
_cell_length_c 12.3186
_cell_angle_alpha 90.00
_cell_angle_beta 90.00
_cell_angle_gamma 90.00
_space_group_name_H-M_alt 'A m m 2'
_space_group_IT_number 38
loop_
_space_group_symop_operation_xyz
'x,y,z'
'-x,-y,z'
'-x,y,z'
'x,-y,z'
'x,y+1/2,z+1/2'
'-x,-y+1/2,z+1/2'
'-x,y+1/2,z+1/2'
'x,-y+1/2,z+1/2'
loop_
_atom_site_label
_atom_site_fract_x
_atom_site_fract_y
_atom_site_fract_z
Ac1 0.0000 0.0000 0.0000
Pm1 0.5000 0.0000 0.7284
Tl1 0.5000 0.0000 0.4486
Pb1 0.0000 0.0000 0.2734

---

Version x
# AcPmTlPb, relaxed, DFT PBE-GGA
# volume = 32.7 Å³/atom
data_AcPmTlPb
_chemical_formula_sum 'Ac4 Pm4 Tl4 Pb4'
_cell_length_a 8.0592
_cell_length_b 8.0592
_cell_length_c 8.0592
_cell_angle_alpha 90.00
_cell_angle_beta 90.00
_cell_angle_gamma 90.00
_space_group_name_H-M_alt 'F -4 3 m'
_space_group_IT_number 216
_space_group_name_Hall 'F -4 2 3'
loop_
_atom_site_label
_atom_site_fract_x
_atom_site_fract_y
_atom_site_fract_z
Ac1 0.0000 0.0000 0.0000
Pm1 0.0000 0.0000 0.5000
Tl1 0.2500 0.2500 0.7500
Pb1 0.2500 0.2500 0.2500

---

The structure with the least stability is version x.

---

Version w
# Ac3Pr2Pb3, relaxed, DFT PBE-GGA
# volume = 35.8 Å³/atom
data_Ac3Pr2Pb3
_chemical_formula_sum 'Ac6 Pr4 Pb6'
_cell_length_a 4.6101
_cell_length_b 5.3724
_cell_length_c 23.1478
_cell_angle_alpha 90.00
_cell_angle_beta 90.00
_cell_angle_gamma 90.00
_space_group_name_H-M_alt 'I m m m'
_space_group_IT_number 71
_space_group_name_Hall '-I 2 2'
loop_
_atom_site_label
_atom_site_fract_x
_atom_site_fract_y
_atom_site_fract_z
Ac1 0.0000 0.0000 0.0000
Ac2 0.0000 0.5000 0.1204
Pr1 0.0000 0.0000 0.2424
Pb1 0.0000 0.0000 0.5000
Pb2 0.0000 0.5000 0.3626

---

Version x
# Ac3Pr2Pb3, relaxed, DFT PBE-GGA
# volume = 37.1 Å³/atom
data_Ac3Pr2Pb3
_chemical_formula_sum 'Ac6 Pr4 Pb6'
_cell_length_a 9.8317
_cell_length_b 9.8317
_cell_length_c 7.0816
_cell_angle_alpha 90.00
_cell_angle_beta 90.00
_cell_angle_gamma 120.00
_space_group_name_H-M_alt 'P 63/m c m'
_space_group_IT_number 193
_space_group_name_Hall '-P 6c 2'
loop_
_atom_site_label
_atom_site_fract_x
_atom_site_fract_y
_atom_site_fract_z
Ac1 0.0000 0.2452 0.2500
Pr1 0.3333 0.6667 0.0000
Pb1 0.0000 0.3984 0.7500

---

The structure with the least stability is version w.

---

Version w
# AcPr5Pb6, relaxed, DFT PBE-GGA
# volume = 33.4 Å³/atom
data_AcPr5Pb6
_chemical_formula_sum 'Ac2 Pr10 Pb12'
_cell_length_a 8.9001
_cell_length_b 16.4085
_cell_length_c 6.4074
_cell_angle_alpha 90.00
_cell_angle_beta 121.01
_cell_angle_gamma 90.00
_space_group_name_H-M_alt 'C 1 2/m 1'
_space_group_IT_number 12
loop_
_space_group_symop_operation_xyz
'x,y,z'
'-x,-y,-z'
'-x,y,-z'
'x,-y,z'
'x+1/2,y+1/2,z'
'-x+1/2,-y+1/2,-z'
'-x+1/2,y+1/2,-z'
'x+1/2,-y+1/2,z'
loop_
_atom_site_label
_atom_site_fract_x
_atom_site_fract_y
_atom_site_fract_z
Ac1 0.0000 0.0000 0.0000
Pr1 0.0000 0.1508 0.5000
Pr2 0.0000 0.3222 0.0000
Pr3 0.0000 0.5000 0.5000
Pb1 0.2159 0.5000 0.2029
Pb2 0.2276 0.3281 0.7138

---

Version x
# AcPr5Pb6, relaxed, DFT PBE-GGA
# volume = 31.5 Å³/atom
data_AcPr5Pb6
_chemical_formula_sum 'Ac2 Pr10 Pb12'
_cell_length_a 5.1724
_cell_length_b 9.3135
_cell_length_c 15.7181
_cell_angle_alpha 90.00
_cell_angle_beta 90.00
_cell_angle_gamma 90.00
_space_group_name_H-M_alt 'I m m m'
_space_group_IT_number 71
_space_group_name_Hall '-I 2 2'
loop_
_atom_site_label
_atom_site_fract_x
_atom_site_fract_y
_atom_site_fract_z
Ac1 0.0000 0.0000 0.0000
Pr1 0.0000 0.0000 0.3344
Pr2 0.0000 0.5000 0.0000
Pr3 0.0000 0.5000 0.3313
Pb1 0.0000 0.2447 0.5000
Pb2 0.0000 0.2520 0.1699

---

The structure with the least stability is version w.